No. 1
Pm3GaSn | GGA-PBE | relaxed

The structure belongs to space group Pmmn (No. 59, origin choice 2); the cell edges are 4.548, 7.145 and 9.514 Å and the angles 90.00°, 90.00° and 90.00°. The inequivalent atoms are Pm at (0.250, 0.018, 0.168), Pm at (0.250, 0.250, 0.578), Ga at (0.250, 0.250, 0.893) and Sn at (0.250, 0.750, 0.649).

As for the crystal system: orthorhombic.

No. 2
Pm2Ga2Sn | GGA-PBE | relaxed

The structure belongs to space group C2/m (No. 12); the cell edges are 11.504, 4.467 and 10.807 Å and the angles 90.00°, 115.59° and 90.00°. The inequivalent atoms are Pm at (0.014, 0.000, 0.183), Pm at (0.186, 0.000, 0.605), Ga at (0.041, 0.500, 0.403), Ga at (0.132, 0.500, 0.066) and Sn at (0.202, 0.500, 0.833).

As for the relative energy among the computed polymorphs: 23 kJ/mol of formula units. As for the crystal system: monoclinic.

No. 3
Pm6Ga3Sn | GGA-PBE | relaxed

The structure belongs to space group P2_1/m (No. 11); the cell edges are 12.538, 3.767 and 13.320 Å and the angles 90.00°, 102.80° and 90.00°. The inequivalent atoms are Pm at (0.013, 0.250, 0.375), Pm at (0.111, 0.250, 0.947), Pm at (0.234, 0.750, 0.286), Pm at (0.291, 0.750, 0.747), Pm at (0.375, 0.250, 0.532), Pm at (0.424, 0.750, 0.100), Ga at (0.061, 0.250, 0.164), Ga at (0.179, 0.750, 0.508), Ga at (0.342, 0.250, 0.923) and Sn at (0.457, 0.250, 0.309).

As for the crystal system: monoclinic.

No. 4
Pm5GaSn6 | GGA-PBE | relaxed

The structure belongs to space group P-1 (No. 2); the cell edges are 4.696, 9.111 and 9.121 Å and the angles 61.48°, 75.11° and 75.14°. The inequivalent atoms are Pm at (0.000, 0.000, 0.000), Pm at (0.328, 0.172, 0.172), Pm at (0.359, 0.641, 0.641), Ga at (0.000, 0.500, 0.500), Sn at (0.168, 0.080, 0.584), Sn at (0.168, 0.584, 0.080) and Sn at (0.500, 0.239, 0.761).

As for the crystal system: triclinic.

No. 5
Pm4Ga12Sn | GGA-PBE | relaxed

The structure belongs to space group Im-3m (No. 229); the cell edges are 8.960, 8.960 and 8.960 Å and the angles 90.00°, 90.00° and 90.00°. The inequivalent atoms are Pm at (0.250, 0.250, 0.250), Ga at (0.000, 0.000, 0.321), Ga at (0.000, 0.250, 0.500) and Sn at (0.000, 0.000, 0.000).

As for the crystal system: cubic.

No. 6
Pm5GaSn4 | GGA-PBE | relaxed

The structure belongs to space group P4/mmm (No. 123); the cell edges are 3.511, 3.511 and 22.223 Å and the angles 90.00°, 90.00° and 90.00°. The inequivalent atoms are Pm at (0.000, 0.000, 0.000), Pm at (0.000, 0.000, 0.205), Pm at (0.000, 0.000, 0.410), Ga at (0.500, 0.500, 0.500), Sn at (0.500, 0.500, 0.102) and Sn at (0.500, 0.500, 0.307).

As for the crystal system: tetragonal.

No. 7
Pm3Ga8Sn | GGA-PBE | relaxed

The structure belongs to space group R3m (No. 160, hexagonal axes); the cell edges are 5.6770, 5.6770 and 27.0463 Å and the angles 90.00°, 90.00° and 120.00°. The inequivalent atoms are Pm at (0.0000, 0.0000, 0.0000), Pm at (0.0000, 0.0000, 0.1306), Pm at (0.0000, 0.0000, 0.6190), Ga at (0.0000, 0.0000, 0.3115), Ga at (0.0000, 0.0000, 0.8161), Ga at (0.0054, 0.5027, 0.5645), Ga at (0.1695, 0.3390, 0.3951) and Sn at (0.0000, 0.0000, 0.4944).

As for the crystal system: trigonal.

No. 8
PmGa3Sn | GGA-PBE | relaxed

The structure belongs to space group Cmcm (No. 63); the cell edges are 4.279, 24.525 and 4.317 Å and the angles 90.00°, 90.00° and 90.00°. The inequivalent atoms are Pm at (0.000, 0.078, 0.250), Ga at (0.000, 0.315, 0.750), Ga at (0.000, 0.377, 0.250), Ga at (0.000, 0.477, 0.250) and Sn at (0.000, 0.200, 0.750).

As for the crystal system: orthorhombic.

No. 9
PmGaSn2 | GGA-PBE | relaxed

The structure belongs to space group R-3m (No. 166, hexagonal axes); the cell edges are 4.8900, 4.8900 and 15.4662 Å and the angles 90.00°, 90.00° and 120.00°. The inequivalent atoms are Pm at (0.0000, 0.0000, 0.0000), Ga at (0.0000, 0.0000, 0.5000) and Sn at (0.0000, 0.0000, 0.2221).

As for the relative energy among the computed polymorphs: 89 kJ/mol of formula units. As for the crystal system: trigonal.

No. 10
Pm6GaSn6 | GGA-PBE | relaxed

The structure belongs to space group P6/mmm (No. 191); the cell edges are 6.5380, 6.5380 and 10.4509 Å and the angles 90.00°, 90.00° and 120.00°. The inequivalent atoms are Pm at (0.0000, 0.0000, 0.2081), Pm at (0.3333, 0.6667, 0.0000), Pm at (0.3333, 0.6667, 0.5000), Ga at (0.0000, 0.0000, 0.5000) and Sn at (0.0000, 0.5000, 0.2491).

As for the crystal system: hexagonal.

No. 11
Pm3Ga2Sn3 | GGA-PBE | relaxed

The structure belongs to space group Cmcm (No. 63); the cell edges are 4.422, 11.678 and 16.002 Å and the angles 90.00°, 90.00° and 90.00°. The inequivalent atoms are Pm at (0.000, 0.057, 0.112), Pm at (0.000, 0.335, 0.250), Ga at (0.000, 0.227, 0.619), Sn at (0.000, 0.371, 0.037) and Sn at (0.000, 0.392, 0.750).

As for the relative energy among the computed polymorphs: 0 kJ/mol of formula units. As for the crystal system: orthorhombic.

No. 12
Pm2Ga2Sn | GGA-PBE | relaxed

The structure belongs to space group Cmmm (No. 65); the cell edges are 4.156, 13.965 and 4.273 Å and the angles 90.00°, 90.00° and 90.00°. The inequivalent atoms are Pm at (0.000, 0.129, 0.000), Ga at (0.000, 0.299, 0.500) and Sn at (0.000, 0.500, 0.500).

As for the relative energy among the computed polymorphs: 0 kJ/mol of formula units. As for the crystal system: orthorhombic.

Number 1: M_tot 0.0 μB/cell, energy of formation from the pure elements -0.473 eV per atom. Number 2: M_tot 0.0 μB/cell, energy of formation from the pure elements -0.618 eV per atom. Number 3: M_tot 0.0 μB/cell, energy of formation from the pure elements -0.363 eV per atom. Number 4: M_tot 0.0 μB/cell, energy of formation from the pure elements -0.625 eV per atom. Number 5: M_tot 0.0 μB/cell, energy of formation from the pure elements -0.496 eV per atom. Number 6: M_tot 0.0 μB/cell, energy of formation from the pure elements -0.648 eV per atom. Number 7: M_tot 0.0 μB/cell, energy of formation from the pure elements -0.440 eV per atom. Number 8: M_tot 0.0 μB/cell, energy of formation from the pure elements -0.363 eV per atom. Number 9: M_tot 0.0 μB/cell, energy of formation from the pure elements -0.282 eV per atom. Number 10: M_tot 0.0 μB/cell, energy of formation from the pure elements -0.571 eV per atom. Number 11: M_tot 0.0 μB/cell, energy of formation from the pure elements -0.643 eV per atom. Number 12: M_tot 0.0 μB/cell, energy of formation from the pure elements -0.666 eV per atom.